The following is a DFT calculation (PBE) of a geometry-optimized Y2HoS4 structure.

Results
Energy: -96.3 eV/cell
Space-group type: No. 12
Energy relative to the lowest polymorph listed for this composition: 2.5 kJ/mol of atoms
Formation energy without anion corrections: -2021 meV/atom
D(E_F): 2.47 states/eV/f.u.

a = 14.291 Å, b = 3.941 Å, c = 6.900 Å
α = 90.00°, β = 116.51°, γ = 90.00°
Atoms (fractional coordinates):
Y  0.227  0.000  0.220
Y  0.273  0.500  0.780
Y  0.727  0.500  0.220
Y  0.773  0.000  0.780
Ho  0.000  0.500  0.500
Ho  0.500  0.000  0.500
S  0.124  0.500  0.936
S  0.138  0.000  0.502
S  0.362  0.500  0.498
S  0.376  0.000  0.064
S  0.624  0.000  0.936
S  0.638  0.500  0.502
S  0.862  0.000  0.498
S  0.876  0.500  0.064